Compound: AcCr2PtO8
Source: Alexandria via LeMat-Bulk
Functional: GGA+U
Structure: relaxed

Cell and atoms, written as POSCAR:
```
AcCr2PtO8
1.0
4.664 0.358 0.914
0.447 4.510 0.151
1.292 0.059 8.468
Ac Cr Pt O
1 2 1 8
Cartesian
0.646 0.029 4.234
3.043 2.266 6.787
3.359 2.660 2.746
0.000 0.000 0.000
1.715 2.296 2.984
3.614 3.615 1.341
4.370 1.222 2.700
4.688 2.630 6.549
2.788 1.312 8.192
2.033 3.705 6.833
3.647 3.673 4.067
2.755 1.253 5.465
```

Properties
DFT total energy: -83.2 eV per cell
magnetization: 0.08 μB per atom
density of states at the Fermi level: 3.8 states/eV/f.u.